DFT (PBE) results for RbSiAuC2 after structural relaxation.

As for the space-group type: P4/mmm, No. 123. The volume is 175.9 Å³/cell. For the energy relative to the elements, uncorrected, the calculation gives 3.5691 eV per atom.

Cell lengths 4.921, 7.265, 4.921 Å; angles 90.00, 90.00, 90.00 degrees
Each line ends with the local moment (μB).
Atoms (fractional coordinates):
C 0.000 0.000 0.500  0.96
C 0.500 0.000 0.000  1.16
Rb 0.000 0.000 0.000  0.11
Si 0.000 0.500 0.000  -0.30
Au 0.500 0.500 0.500  0.05



DFT (PBE) results for Tb2GaSiRh6 after structural relaxation.

As for the space-group type: Fm-3m, No. 225. The volume is 184.1 Å³/cell. For the energy relative to the elements, uncorrected, the calculation gives -0.4777 eV per atom.

Cell lengths 6.385, 6.386, 6.385 Å; angles 60.00, 60.00, 90.00 degrees
Atoms (fractional coordinates):
Si 0.500 0.500 0.000
Rh 0.256 0.744 0.000
Rh 0.256 0.256 0.488
Rh 0.744 0.256 0.000
Rh 0.256 0.256 0.000
Rh 0.744 0.744 0.512
Rh 0.744 0.744 0.000
Tb 0.750 0.250 0.500
Tb 0.250 0.750 0.500
Ga 0.000 0.000 0.000



DFT (PBE) results for ErPIr after structural relaxation.

For the formation energy, the calculation gives -1046 meV per atom. As for the space-group type: C2/m, No. 12. The volume is 107.3 Å³/cell.

Cell lengths 4.127, 5.434, 5.583 Å; angles 78.26, 68.31, 67.68 degrees
Atoms (fractional coordinates):
P 0.669 0.406 0.255
P 0.331 0.594 0.745
Er 0.053 0.189 0.704
Er 0.947 0.811 0.296
Ir 0.316 0.229 0.138
Ir 0.684 0.771 0.862